Version a
VASP calculation (PBE) on a relaxed Nd2Sm9Ho crystal.

Lattice parameters (Å, degrees): 5.1285 5.1285 15.3829 90.00 90.00 90.00
Closest atoms and distances in Å follow each position.
Element x y z (fractional)
Nd (0.0000, 0.0000, 0.1678)  12 Sm 3.63-3.64
Nd (0.0000, 0.0000, 0.8322)  12 Sm 3.63-3.64
Sm (0.0000, 0.5000, 0.0000)  8 Sm 3.63-3.64, 4 Nd 3.64
Sm (0.0000, 0.5000, 0.3353)  2 Ho 3.60, 8 Sm 3.60-3.63, 2 Nd 3.64
Sm (0.0000, 0.5000, 0.6647)  2 Ho 3.60, 8 Sm 3.60-3.63, 2 Nd 3.64
Sm (0.5000, 0.0000, 0.0000)  8 Sm 3.63-3.64, 4 Nd 3.64
Sm (0.5000, 0.0000, 0.3353)  2 Ho 3.60, 8 Sm 3.60-3.63, 2 Nd 3.64
Sm (0.5000, 0.0000, 0.6647)  2 Ho 3.60, 8 Sm 3.60-3.63, 2 Nd 3.64
Sm (0.5000, 0.5000, 0.1678)  4 Nd 3.63, 8 Sm 3.63-3.64
Sm (0.5000, 0.5000, 0.5000)  8 Sm 3.60, 4 Ho 3.63
Sm (0.5000, 0.5000, 0.8322)  4 Nd 3.63, 8 Sm 3.63-3.64
Ho (0.0000, 0.0000, 0.5000)  12 Sm 3.60-3.63

Summary:
crystal system	tetragonal
spin magnetization	0.0	μB/f.u.

=====

Version b
VASP calculation (PBE) on a relaxed Nd2Sm9Ho crystal.

Lattice parameters (Å, degrees): 11.4655 11.4655 3.5390 90.00 90.00 120.00
Closest atoms and distances in Å follow each position.
Element x y z (fractional)
Nd (0.3333, 0.6667, 0.0000)  9 Sm 3.31-3.66, 2 Nd 3.54
Nd (0.6667, 0.3333, 0.0000)  9 Sm 3.31-3.66, 2 Nd 3.54
Sm (0.0000, 0.5000, 0.0000)  2 Nd 3.31, 2 Sm 3.54
Sm (0.1721, 0.3441, 0.5000)  8 Sm 3.42-3.71, 2 Nd 3.66
Sm (0.1721, 0.8279, 0.5000)  8 Sm 3.42-3.71, 2 Nd 3.66
Sm (0.3441, 0.1721, 0.5000)  8 Sm 3.42-3.71, 2 Nd 3.66
Sm (0.5000, 0.0000, 0.0000)  2 Nd 3.31, 2 Sm 3.54
Sm (0.5000, 0.5000, 0.0000)  2 Nd 3.31, 2 Sm 3.54
Sm (0.6559, 0.8279, 0.5000)  8 Sm 3.42-3.71, 2 Nd 3.66
Sm (0.8279, 0.1721, 0.5000)  8 Sm 3.42-3.71, 2 Nd 3.66
Sm (0.8279, 0.6559, 0.5000)  8 Sm 3.42-3.71, 2 Nd 3.66
Ho (0.0000, 0.0000, 0.0000)  2 Ho 3.54, 12 Sm 3.85

Summary:
crystal system	hexagonal
spin magnetization	0.0	μB/f.u.

=====

Going by the energies, version a is most stable and the next is 34 meV per atom up.

=====

Version a
VASP calculation (PBE) on a relaxed Nd4Sm3Ho2 crystal.

Lattice parameters (Å, degrees): 6.2799 6.2831 9.5987 90.01 109.00 119.96
Closest atoms and distances in Å follow each position.
Element x y z (fractional)
Nd (0.1110, 0.3885, 0.1656)  4 Ho 3.61-3.63, 3 Nd 3.62-3.65, 5 Sm 3.62-3.64
Nd (0.3315, 0.1654, 0.4999)  5 Nd 3.61-3.65, 5 Sm 3.62-3.64, 2 Ho 3.63-3.64
Nd (0.6685, 0.8346, 0.5001)  5 Nd 3.61-3.65, 5 Sm 3.62-3.64, 2 Ho 3.63-3.64
Nd (0.8890, 0.6115, 0.8344)  4 Ho 3.61-3.63, 3 Nd 3.62-3.65, 5 Sm 3.62-3.64
Sm (0.0000, 0.5000, 0.5000)  8 Nd 3.62-3.64, 2 Ho 3.64, 2 Sm 3.64
Sm (0.4445, 0.0560, 0.1650)  2 Sm 3.60-3.64, 4 Ho 3.61-3.64, 6 Nd 3.62-3.64
Sm (0.5555, 0.9440, 0.8350)  2 Sm 3.60-3.64, 4 Ho 3.61-3.64, 6 Nd 3.62-3.64
Ho (0.2242, 0.2791, 0.8350)  1 Ho 3.60, 5 Sm 3.61-3.64, 6 Nd 3.61-3.64
Ho (0.7758, 0.7209, 0.1650)  1 Ho 3.60, 5 Sm 3.61-3.64, 6 Nd 3.61-3.64

Summary:
crystal system	triclinic
spin magnetization	0.0	μB/f.u.

=====

Version b
VASP calculation (PBE) on a relaxed Nd4Sm3Ho2 crystal.

Lattice parameters (Å, degrees): 3.6334 3.6334 26.9986 90.00 90.00 120.00
Closest atoms and distances in Å follow each position.
Element x y z (fractional)
Nd (0.0000, 0.0000, 0.0000)  1 Ho 3.43, 3 Sm 3.58, 6 Nd 3.63
Nd (0.0000, 0.0000, 0.2202)  9 Nd 3.63-3.68, 3 Sm 3.69
Nd (0.3333, 0.6667, 0.3324)  9 Nd 3.63-3.68, 3 Sm 3.65
Nd (0.3333, 0.6667, 0.5549)  3 Ho 3.56, 6 Nd 3.63, 3 Sm 3.68
Sm (0.0000, 0.0000, 0.4431)  6 Sm 3.63, 6 Nd 3.65-3.68
Sm (0.3333, 0.6667, 0.1076)  6 Nd 3.58-3.69, 6 Sm 3.63
Sm (0.3333, 0.6667, 0.7693)  6 Ho 3.50-3.58, 6 Sm 3.63
Ho (0.0000, 0.0000, 0.6617)  3 Nd 3.56, 3 Sm 3.58, 6 Ho 3.63
Ho (0.0000, 0.0000, 0.8731)  1 Nd 3.43, 3 Sm 3.50, 6 Ho 3.63

Summary:
crystal system	trigonal
spin magnetization	0.0	μB/f.u.

=====

Going by the energies, version a is most stable and the next is 52 meV per atom up.